# 1
## K2PRh (GGA-PBE)

Data for a relaxed K2PRh crystal. Values from VASP.

```
&SYSTEM
  ibrav = 0, nat = 4, ntyp = 3
/
ATOMIC_SPECIES
K 39.10 K.upf
P 30.97 P.upf
Rh 102.91 Rh.upf
ATOMIC_POSITIONS angstrom
K 0.000 0.000 0.000
K 0.000 1.943 3.383
P 2.695 0.000 2.299
Rh 2.690 1.943 1.255
CELL_PARAMETERS angstrom
5.380 0.000 0.000
0.000 3.886 0.000
-2.687 0.000 5.720
```

Properties
- symmetry = Pm (6)
- energy relative to the elements (kJ/mol of atoms) = -25

# 2
## Mg2InW (GGA-PBE)

Data for a relaxed Mg2InW crystal. Values from VASP.

```
&SYSTEM
  ibrav = 0, nat = 4, ntyp = 3
/
ATOMIC_SPECIES
Mg 24.30 Mg.upf
In 114.82 In.upf
W 183.84 W.upf
ATOMIC_POSITIONS angstrom
Mg 2.173 0.000 1.080
Mg 6.937 0.000 3.535
In -0.861 0.000 2.307
W 5.417 0.000 0.000
CELL_PARAMETERS angstrom
5.417 -1.538 0.000
5.417 1.538 0.000
-1.723 0.000 4.615
```

Properties
- symmetry = C2/m (12)
- energy relative to the elements (kJ/mol of atoms) = 36

# 3
## TbTmFe (GGA-PBE)

Data for a relaxed TbTmFe crystal. Values from VASP.

```
&SYSTEM
  ibrav = 0, nat = 3, ntyp = 3
/
ATOMIC_SPECIES
Tb 158.93 Tb.upf
Tm 168.93 Tm.upf
Fe 55.84 Fe.upf
ATOMIC_POSITIONS angstrom
Tb 0.000 0.000 0.000
Tm 0.000 0.000 3.202
Fe 0.000 0.000 8.003
CELL_PARAMETERS angstrom
-1.654 1.654 6.366
1.654 -1.654 6.366
1.654 1.654 -6.366
```

Properties
- symmetry = I4mm (107)
- energy relative to the elements (kJ/mol of atoms) = 3

# 4
## BaSrTiSe4 (GGA-PBE)

Data for a relaxed BaSrTiSe4 crystal. Values from VASP.

```
&SYSTEM
  ibrav = 0, nat = 14, ntyp = 4
/
ATOMIC_SPECIES
Ba 137.33 Ba.upf
Sr 87.62 Sr.upf
Ti 47.87 Ti.upf
Se 78.96 Se.upf
ATOMIC_POSITIONS angstrom
Ba 0.441 1.772 3.700
Ba 3.907 5.317 4.886
Sr -0.686 1.772 8.160
Sr 5.034 5.317 0.426
Ti 1.445 5.317 1.650
Ti 2.903 1.772 6.937
Se -0.451 5.317 3.121
Se -1.920 5.317 7.935
Se 1.438 3.598 6.444
Se 1.438 7.035 6.444
Se 2.911 0.053 2.142
Se 2.911 3.491 2.142
Se 6.268 1.772 0.652
Se 4.800 1.772 5.466
CELL_PARAMETERS angstrom
7.158 0.000 0.000
0.000 7.089 0.000
-2.810 0.000 8.586
```

Properties
- symmetry = P2_1/m (11)
- raw formation energy (eV per atom) = -1.660

# 5
## Pm7Y4Tm (GGA-PBE)

Data for a relaxed Pm7Y4Tm crystal. Values from VASP.

```
&SYSTEM
  ibrav = 0, nat = 12, ntyp = 3
/
ATOMIC_SPECIES
Pm 145.00 Pm.upf
Y 88.91 Y.upf
Tm 168.93 Tm.upf
ATOMIC_POSITIONS angstrom
Pm 0.000 0.000 0.000
Pm -2.864 0.000 10.426
Pm -1.023 0.000 7.738
Pm 1.524 0.000 5.650
Pm 4.676 0.000 5.652
Pm 7.223 0.000 3.564
Pm 9.064 0.000 0.876
Y -1.164 0.000 3.651
Y 3.118 0.000 2.525
Y 3.082 0.000 8.777
Y 7.364 0.000 7.651
Tm 6.038 0.000 0.000
CELL_PARAMETERS angstrom
6.038 -3.016 0.000
6.038 3.016 0.000
-5.876 0.000 11.302
```

Properties
- symmetry = C2/m (12)
- energy relative to the elements (kJ/mol of atoms) = 25

# 6
## LaB2IrO8 (GGA-PBE)

Data for a relaxed LaB2IrO8 crystal. Values from VASP.

```
&SYSTEM
  ibrav = 0, nat = 12, ntyp = 4
/
ATOMIC_SPECIES
La 138.91 La.upf
B 10.81 B.upf
Ir 192.22 Ir.upf
O 16.00 O.upf
ATOMIC_POSITIONS angstrom
La 0.000 0.000 0.000
B 0.000 2.856 1.687
B 2.473 1.428 5.088
Ir 0.000 0.000 3.387
O 0.000 1.470 2.162
O -1.200 3.549 2.162
O 0.000 2.856 0.262
O 1.273 0.735 4.612
O 1.200 3.549 2.162
O 2.473 1.428 6.512
O 3.673 0.735 4.612
O 2.473 2.814 4.612
CELL_PARAMETERS angstrom
4.947 0.000 0.000
-2.473 4.284 0.000
0.000 0.000 6.774
```

Properties
- symmetry = P-3m1 (164)
- raw formation energy (eV per atom) = -1.741

# 7
## ScCoN3 (GGA-PBE)

Data for a relaxed ScCoN3 crystal. Values from VASP.

```
&SYSTEM
  ibrav = 0, nat = 5, ntyp = 3
/
ATOMIC_SPECIES
Sc 44.96 Sc.upf
Co 58.93 Co.upf
N 14.01 N.upf
ATOMIC_POSITIONS angstrom
Sc 0.000 0.000 0.000
Co 1.831 1.831 1.831
N 0.000 1.831 1.831
N 1.831 0.000 1.831
N 1.831 1.831 0.000
CELL_PARAMETERS angstrom
3.661 0.000 0.000
0.000 3.661 0.000
0.000 0.000 3.661
```

Properties
- symmetry = Pm-3m (221)
- raw formation energy (eV per atom) = 0.391

# 8
## InRhPb2Cl (GGA-PBE)

Data for a relaxed InRhPb2Cl crystal. Values from VASP.

```
&SYSTEM
  ibrav = 0, nat = 5, ntyp = 4
/
ATOMIC_SPECIES
In 114.82 In.upf
Rh 102.91 Rh.upf
Pb 207.20 Pb.upf
Cl 35.45 Cl.upf
ATOMIC_POSITIONS angstrom
In 0.000 0.000 0.000
Rh 0.000 0.000 2.614
Pb 0.000 2.645 2.614
Pb 2.645 0.000 2.614
Cl 2.645 2.645 0.000
CELL_PARAMETERS angstrom
5.290 0.000 0.000
0.000 5.290 0.000
0.000 0.000 5.228
```

Properties
- symmetry = P4/mmm (123)
- raw formation energy (eV per atom) = -0.293

| no. | electronic total energy (eV per atom) |
| --- | --- |
| 1 | -4.00 |
| 2 | -4.35 |
| 3 | -5.82 |
| 4 | -5.29 |
| 5 | -5.04 |
| 6 | -7.31 |
| 7 | -7.29 |
| 8 | -4.16 |